# 1
The following is a PBE-GGA calculation of Th3B7Ru after structural relaxation, from Alexandria via LeMat-Bulk.

Computed properties:
formation enthalpy at 0 K = -0.44 eV/atom
size of the total moment = 0.00 μB/f.u.
space-group type = No. 63

a = 8.3811 Å, b = 8.3811 Å, c = 9.7101 Å
α = 90.00°, β = 90.00°, γ = 154.88°
Closest atoms and distances in Å follow each position.
Atoms (fractional coordinates):
Th 0.1051 0.8949 0.5609  11 B 2.74-2.83
Th 0.1051 0.8949 0.9391  11 B 2.74-2.83
Th 0.2477 0.7523 0.2500  10 B 2.78-2.81
Th 0.7523 0.2477 0.7500  10 B 2.78-2.81
Th 0.8949 0.1051 0.0609  11 B 2.74-2.83
Th 0.8949 0.1051 0.4391  11 B 2.74-2.83
B 0.2760 0.7240 0.5334  3 B 1.90-2.11
B 0.2760 0.7240 0.9666  3 B 1.90-2.11
B 0.3671 0.6329 0.6544  3 B 1.85-1.90
B 0.3671 0.6329 0.8456  3 B 1.85-1.90
B 0.4644 0.5356 0.2500  2 B 1.76
B 0.4756 0.5244 0.6001  2 B 1.76-1.85
B 0.4756 0.5244 0.8999  2 B 1.76-1.85
B 0.5244 0.4756 0.1001  2 B 1.76-1.85
B 0.5244 0.4756 0.3999  2 B 1.76-1.85
B 0.5356 0.4644 0.7500  2 B 1.76
B 0.6329 0.3671 0.1544  3 B 1.85-1.90
B 0.6329 0.3671 0.3456  3 B 1.85-1.90
B 0.7240 0.2760 0.0334  3 B 1.90-2.11
B 0.7240 0.2760 0.4666  3 B 1.90-2.11
Ru 0.0552 0.9448 0.2500  10 B 2.35-2.41
Ru 0.9448 0.0552 0.7500  10 B 2.35-2.41

***

# 2
The following is a PBE-GGA calculation of K3ZnHg2 after structural relaxation, from Alexandria via LeMat-Bulk.

Computed properties:
formation enthalpy at 0 K = -0.14 eV/atom
size of the total moment = 0.00 μB/f.u.
space-group type = No. 62

a = 13.6921 Å, b = 4.9128 Å, c = 13.9807 Å
α = 90.00°, β = 90.00°, γ = 90.00°
Closest atoms and distances in Å follow each position.
Atoms (fractional coordinates):
K 0.0570 0.2500 0.1227  1 Zn 3.56, 5 Hg 3.68-3.81
K 0.1180 0.7500 0.5613  5 Hg 3.54-3.70, 3 Zn 3.56-3.67
K 0.1984 0.2500 0.7913  2 Zn 3.55, 4 Hg 3.57-3.65
K 0.3016 0.7500 0.2913  2 Zn 3.55, 4 Hg 3.57-3.65
K 0.3820 0.2500 0.0613  5 Hg 3.54-3.70, 3 Zn 3.56-3.67
K 0.4430 0.7500 0.6227  1 Zn 3.56, 5 Hg 3.68-3.81
K 0.5570 0.2500 0.3773  1 Zn 3.56, 5 Hg 3.68-3.81
K 0.6180 0.7500 0.9387  5 Hg 3.54-3.70, 3 Zn 3.56-3.67
K 0.6984 0.2500 0.7087  2 Zn 3.55, 4 Hg 3.57-3.65
K 0.8016 0.7500 0.2087  2 Zn 3.55, 4 Hg 3.57-3.65
K 0.8820 0.2500 0.4387  5 Hg 3.54-3.70, 3 Zn 3.56-3.67
K 0.9430 0.7500 0.8773  1 Zn 3.56, 5 Hg 3.68-3.81
Zn 0.1314 0.2500 0.3665  3 Hg 2.82-2.85
Zn 0.3686 0.7500 0.8665  3 Hg 2.82-2.85
Zn 0.6314 0.2500 0.1335  3 Hg 2.82-2.85
Zn 0.8686 0.7500 0.6335  3 Hg 2.82-2.85
Hg 0.0424 0.7500 0.3189  2 Zn 2.82
Hg 0.1992 0.7500 0.9844  1 Zn 2.85
Hg 0.3008 0.2500 0.4844  1 Zn 2.85
Hg 0.4576 0.2500 0.8189  2 Zn 2.82
Hg 0.5424 0.7500 0.1811  2 Zn 2.82
Hg 0.6992 0.7500 0.5156  1 Zn 2.85
Hg 0.8008 0.2500 0.0156  1 Zn 2.85
Hg 0.9576 0.2500 0.6811  2 Zn 2.82

***

# 3
The following is a PBE-GGA calculation of Nd6NiPt2Br3 after structural relaxation, from Alexandria via LeMat-Bulk.

Computed properties:
size of the total moment = 0.00 μB/f.u.
formation energy (no corrections) = -1.093 eV/atom
space-group type = No. 12

a = 10.0379 Å, b = 10.0379 Å, c = 9.1261 Å
α = 109.71°, β = 109.71°, γ = 24.16°
Closest atoms and distances in Å follow each position.
Atoms (fractional coordinates):
Nd 0.0097 0.0097 0.2138  2 Ni 2.83, 1 Pt 2.87
Nd 0.3217 0.3217 0.4457  3 Pt 2.88
Nd 0.3499 0.3499 0.8964  1 Ni 2.77, 2 Pt 2.89
Nd 0.6501 0.6501 0.1036  1 Ni 2.77, 2 Pt 2.89
Nd 0.6783 0.6783 0.5543  3 Pt 2.88
Nd 0.9903 0.9903 0.7862  2 Ni 2.83, 1 Pt 2.87
Ni 0.5000 0.5000 0.0000  6 Nd 2.77-2.83
Pt 0.1656 0.1656 0.3301  6 Nd 2.87-2.89
Pt 0.8344 0.8344 0.6699  6 Nd 2.87-2.89
Br 0.1660 0.1660 0.8332  6 Nd 3.33-3.45
Br 0.5000 0.5000 0.5000  6 Nd 3.36-3.41
Br 0.8340 0.8340 0.1668  6 Nd 3.33-3.45

***

# 4
The following is a PBE-GGA calculation of Rb2InWBr after structural relaxation, from Alexandria via LeMat-Bulk.

Computed properties:
size of the total moment = 3.88 μB/f.u.
formation energy (no corrections) = 0.675 eV/atom
space-group type = No. 123

a = 6.8031 Å, b = 6.8031 Å, c = 5.3720 Å
α = 90.00°, β = 90.00°, γ = 90.00°
Closest atoms and distances in Å follow each position.
Atoms (fractional coordinates):
Rb 0.0000 0.5000 0.0000  2 W 3.40
Rb 0.5000 0.0000 0.0000  2 W 3.40
In 0.0000 0.0000 0.5000  2 W 2.69
W 0.0000 0.0000 0.0000  2 In 2.69
Br 0.5000 0.5000 0.5000  8 Rb 4.33, 4 In 4.81

***

# 5
The following is a PBE-GGA calculation of Ce3Th6In after structural relaxation, from Alexandria via LeMat-Bulk.

Computed properties:
formation enthalpy at 0 K = 0.17 eV/atom
size of the total moment = 0.00 μB/f.u.
space-group type = No. 36

a = 8.5881 Å, b = 8.5881 Å, c = 8.7549 Å
α = 90.00°, β = 90.00°, γ = 106.59°
Closest atoms and distances in Å follow each position.
Atoms (fractional coordinates):
Ce 0.0155 0.9845 0.5000  2 Ce 2.82
Ce 0.0399 0.2914 0.6293  1 Ce 2.82, 3 Th 2.93-3.14
Ce 0.2914 0.0399 0.1293  1 Ce 2.82, 3 Th 2.93-3.14
Ce 0.7086 0.9601 0.6293  1 Ce 2.82, 3 Th 2.93-3.14
Ce 0.9601 0.7086 0.1293  1 Ce 2.82, 3 Th 2.93-3.14
Ce 0.9845 0.0155 0.0000  2 Ce 2.82
Th 0.0209 0.6028 0.4622  3 Ce 3.09-3.31
Th 0.1960 0.2994 0.2868  2 Ce 2.93-3.28, 1 In 3.24
Th 0.2517 0.7483 0.8061  1 In 3.41, 7 Th 3.52-3.75, 2 Ce 3.73
Th 0.2994 0.1960 0.7868  2 Ce 2.93-3.28, 1 In 3.24
Th 0.3972 0.9791 0.4622  3 Ce 3.09-3.31
Th 0.4442 0.5558 0.5332  5 Th 3.37-3.72, 2 In 3.43-3.52, 2 Ce 3.66
Th 0.5558 0.4442 0.0332  5 Th 3.37-3.72, 2 In 3.43-3.52, 2 Ce 3.66
Th 0.6028 0.0209 0.9622  3 Ce 3.09-3.31
Th 0.7006 0.8040 0.2868  2 Ce 2.93-3.28, 1 In 3.24
Th 0.7483 0.2517 0.3061  1 In 3.41, 7 Th 3.52-3.75, 2 Ce 3.73
Th 0.8040 0.7006 0.7868  2 Ce 2.93-3.28, 1 In 3.24
Th 0.9791 0.3972 0.9622  3 Ce 3.09-3.31
In 0.3244 0.6756 0.1782  7 Th 3.24-3.53, 2 Ce 3.25
In 0.6756 0.3244 0.6782  7 Th 3.24-3.53, 2 Ce 3.25

***

# 6
The following is a PBE-GGA calculation of Li5Nd2Ag12 after structural relaxation, from Alexandria via LeMat-Bulk.

Computed properties:
formation enthalpy at 0 K = -0.19 eV/atom
size of the total moment = 0.00 μB/f.u.
space-group type = No. 166

a = 7.2116 Å, b = 7.2116 Å, c = 7.2116 Å
α = 81.38°, β = 81.38°, γ = 81.38°
Closest atoms and distances in Å follow each position.
Atoms (fractional coordinates):
Li 0.0000 0.0000 0.5000  8 Ag 2.67-2.78, 2 Li 2.91
Li 0.0000 0.5000 0.0000  8 Ag 2.67-2.78, 2 Li 2.91
Li 0.0922 0.0922 0.0922  4 Li 2.63-2.91, 3 Ag 2.89
Li 0.5000 0.0000 0.0000  8 Ag 2.67-2.78, 2 Li 2.91
Li 0.9078 0.9078 0.9078  4 Li 2.63-2.91, 3 Ag 2.89
Nd 0.3573 0.3573 0.3573  15 Ag 3.31-3.64
Nd 0.6427 0.6427 0.6427  15 Ag 3.31-3.64
Ag 0.0000 0.3025 0.6975  2 Li 2.78, 6 Ag 2.84-2.92
Ag 0.0000 0.6975 0.3025  2 Li 2.78, 6 Ag 2.84-2.92
Ag 0.1417 0.6604 0.6604  3 Li 2.67-2.89, 6 Ag 2.84-2.92
Ag 0.3025 0.0000 0.6975  2 Li 2.78, 6 Ag 2.84-2.92
Ag 0.3025 0.6975 0.0000  2 Li 2.78, 6 Ag 2.84-2.92
Ag 0.3396 0.3396 0.8583  3 Li 2.67-2.89, 6 Ag 2.84-2.92
Ag 0.3396 0.8583 0.3396  3 Li 2.67-2.89, 6 Ag 2.84-2.92
Ag 0.6604 0.1417 0.6604  3 Li 2.67-2.89, 6 Ag 2.84-2.92
Ag 0.6604 0.6604 0.1417  3 Li 2.67-2.89, 6 Ag 2.84-2.92
Ag 0.6975 0.0000 0.3025  2 Li 2.78, 6 Ag 2.84-2.92
Ag 0.6975 0.3025 0.0000  2 Li 2.78, 6 Ag 2.84-2.92
Ag 0.8583 0.3396 0.3396  3 Li 2.67-2.89, 6 Ag 2.84-2.92

***

# 7
The following is a PBE-GGA calculation of MgAl3O after structural relaxation, from Alexandria via LeMat-Bulk.

Computed properties:
size of the total moment = 0.00 μB/f.u.
formation energy (no corrections) = 1.136 eV/atom
polymorph energy (0 for the lowest one) = 1402 meV/atom
space-group type = No. 221

a = 5.0227 Å, b = 5.0227 Å, c = 5.0227 Å
α = 90.00°, β = 90.00°, γ = 90.00°
Closest atoms and distances in Å follow each position.
Atoms (fractional coordinates):
Mg 0.0000 0.0000 0.0000  6 Al 2.51
Al 0.0000 0.0000 0.5000  2 Mg 2.51
Al 0.0000 0.5000 0.0000  2 Mg 2.51
Al 0.5000 0.0000 0.0000  2 Mg 2.51
O 0.5000 0.5000 0.5000  12 Al 3.55

***

# 8
The following is a PBE-GGA calculation of LaPm2Ir after structural relaxation, from Alexandria via LeMat-Bulk.

Computed properties:
formation enthalpy at 0 K = -0.31 eV/atom
size of the total moment = 0.00 μB/f.u.
polymorph energy (0 for the lowest one) = 176 meV/atom
space-group type = No. 160

a = 9.5239 Å, b = 9.5239 Å, c = 9.5239 Å
α = 24.82°, β = 24.82°, γ = 24.82°
Closest atoms and distances in Å follow each position.
Atoms (fractional coordinates):
La 0.0000 0.0000 0.0000  6 Pm 3.83-3.93, 6 La 4.09
Pm 0.5533 0.5533 0.5533  3 Ir 2.82
Pm 0.7757 0.7757 0.7757  3 Ir 2.82
Ir 0.1645 0.1645 0.1645  6 Pm 2.82

***

# 9
The following is a PBE-GGA calculation of Ce2Pu2Pb3 after structural relaxation, from Alexandria via LeMat-Bulk.

Computed properties:
formation enthalpy at 0 K = -0.23 eV/atom
size of the total moment = 14.44 μB/f.u.
space-group type = No. 65

a = 11.4596 Å, b = 11.4596 Å, c = 3.7543 Å
α = 90.00°, β = 90.00°, γ = 156.07°
Closest atoms and distances in Å follow each position.
Atoms (fractional coordinates):
Ce 0.0780 0.9220 0.0000  1 Pu 2.90
Ce 0.9220 0.0780 0.0000  1 Pu 2.90
Pu 0.2074 0.7926 0.0000  1 Ce 2.90, 2 Pu 3.05, 4 Pb 3.25
Pu 0.7926 0.2074 0.0000  1 Ce 2.90, 2 Pu 3.05, 4 Pb 3.25
Pb 0.3451 0.6549 0.5000  6 Pu 3.25-3.61, 1 Pb 3.47, 4 Ce 3.48
Pb 0.5000 0.5000 0.5000  4 Pb 3.47-3.75, 8 Ce 3.50
Pb 0.6549 0.3451 0.5000  6 Pu 3.25-3.61, 1 Pb 3.47, 4 Ce 3.48

***

# 10
The following is a PBE-GGA calculation of ErGaBr2 after structural relaxation, from Alexandria via LeMat-Bulk.

Computed properties:
size of the total moment = 0.00 μB/f.u.
formation energy (no corrections) = -0.640 eV/atom
space-group type = No. 166

a = 9.9055 Å, b = 9.9055 Å, c = 9.9055 Å
α = 23.01°, β = 23.01°, γ = 23.01°
Closest atoms and distances in Å follow each position.
Atoms (fractional coordinates):
Er 0.0000 0.0000 0.0000  2 Br 2.74
Ga 0.5000 0.5000 0.5000  6 Br 3.09
Br 0.0948 0.0948 0.0948  1 Er 2.74
Br 0.9052 0.9052 0.9052  1 Er 2.74